(1)
This record from Alexandria via LeMat-Bulk describes a relaxed structure of Rb4Pb9. The functional is PBE-GGA.

Output
raw total energy	-3.03	eV per atom
ρ	6.62	g/cm³
formation energy	-2.1	eV per formula unit

CIF file:
```
data_Rb4Pb9
_cell_length_a 10.083
_cell_length_b 13.604
_cell_length_c 16.551
_cell_angle_alpha 90.00
_cell_angle_beta 102.93
_cell_angle_gamma 90.00
_symmetry_space_group_name_H-M 'P 1 21/m 1'
_symmetry_Int_Tables_number 11
_symmetry_space_group_name_Hall '-P 2yb'
loop_
_atom_site_label
_atom_site_fract_x
_atom_site_fract_y
_atom_site_fract_z
Rb1 0.050 0.001 0.370
Rb2 0.120 0.250 0.206
Rb3 0.260 0.250 0.568
Rb4 0.325 0.599 0.908
Rb5 0.380 0.575 0.213
Pb1 0.003 0.060 0.877
Pb2 0.055 0.750 0.029
Pb3 0.059 0.750 0.242
Pb4 0.142 0.750 0.497
Pb5 0.175 0.750 0.690
Pb6 0.230 0.134 0.784
Pb7 0.243 0.134 0.023
Pb8 0.312 0.566 0.624
Pb9 0.389 0.130 0.380
Pb10 0.389 0.632 0.453
Pb11 0.432 0.250 0.925
Pb12 0.492 0.750 0.753
```

(2)
This record from Alexandria via LeMat-Bulk describes a relaxed structure of CsOsBr6. The functional is PBE-GGA.

Output
raw total energy	-3.32	eV per atom
ΔE to the lowest computed polymorph	0.004	eV/atom
ρ	4.43	g/cm³

CIF file:
```
data_CsOsBr6
_cell_length_a 8.721
_cell_length_b 10.581
_cell_length_c 6.861
_cell_angle_alpha 90.00
_cell_angle_beta 108.22
_cell_angle_gamma 90.00
_symmetry_space_group_name_H-M 'C 1 2/m 1'
_symmetry_Int_Tables_number 12
_symmetry_space_group_name_Hall '-C 2y'
loop_
_atom_site_label
_atom_site_fract_x
_atom_site_fract_y
_atom_site_fract_z
Cs1 0.000 0.000 0.000
Os1 0.000 0.500 0.500
Br1 0.101 0.334 0.766
Br2 0.235 0.000 0.565
```

(3)
This record from Alexandria via LeMat-Bulk describes a relaxed structure of ScReAg2. The functional is PBE-GGA.

Output
raw total energy	-5.92	eV per atom
ΔE to the lowest computed polymorph	0.004	eV/atom
ρ	10.57	g/cm³
formation energy	0.8	eV per formula unit
Fermi-level density of states	0.65	states/eV/atom

CIF file:
```
data_ScReAg2
_cell_length_a 2.816
_cell_length_b 2.816
_cell_length_c 8.854
_cell_angle_alpha 90.00
_cell_angle_beta 90.00
_cell_angle_gamma 90.00
_symmetry_space_group_name_H-M 'P 4 m m'
_symmetry_Int_Tables_number 99
_symmetry_space_group_name_Hall 'P 4 -2'
loop_
_atom_site_label
_atom_site_fract_x
_atom_site_fract_y
_atom_site_fract_z
Sc1 0.000 0.000 0.000
Re1 0.500 0.500 0.760
Ag1 0.000 0.000 0.518
Ag2 0.500 0.500 0.264
```

(4)
This record from Alexandria via LeMat-Bulk describes a relaxed structure of Pm2SmPaAs4. The functional is PBE-GGA.

Output
raw total energy	-6.71	eV per atom
ρ	7.76	g/cm³
formation energy	-11.3	eV per formula unit
Fermi-level density of states	0.68	states/eV/atom

CIF file:
```
data_Pm2SmPaAs4
_cell_length_a 7.247
_cell_length_b 4.193
_cell_length_c 7.255
_cell_angle_alpha 90.00
_cell_angle_beta 109.43
_cell_angle_gamma 90.00
_symmetry_space_group_name_H-M 'P 1 2/m 1'
_symmetry_Int_Tables_number 10
_symmetry_space_group_name_Hall '-P 2y'
loop_
_atom_site_label
_atom_site_fract_x
_atom_site_fract_y
_atom_site_fract_z
Pm1 0.000 0.000 0.000
Pm2 0.500 0.500 0.000
Sm1 0.000 0.500 0.500
Pa1 0.500 0.000 0.500
As1 0.255 0.000 0.743
As2 0.258 0.500 0.259
```

(5)
This record from Alexandria via LeMat-Bulk describes a relaxed structure of TaHgAs2. The functional is PBE-GGA.

Output
raw total energy	-5.47	eV per atom
ρ	10.18	g/cm³
formation energy	-0.4	eV per formula unit
Fermi-level density of states	0.35	states/eV/atom

CIF file:
```
data_TaHgAs2
_cell_length_a 3.3700
_cell_length_b 3.3700
_cell_length_c 26.4472
_cell_angle_alpha 90.00
_cell_angle_beta 90.00
_cell_angle_gamma 120.00
_symmetry_space_group_name_H-M 'R -3 m'
_symmetry_Int_Tables_number 166
_symmetry_space_group_name_Hall '-R 3 2"'
loop_
_atom_site_label
_atom_site_fract_x
_atom_site_fract_y
_atom_site_fract_z
Ta1 0.0000 0.0000 0.0000
Hg1 0.0000 0.0000 0.5000
As1 0.0000 0.0000 0.2660
```

(6)
This record from Alexandria via LeMat-Bulk describes a relaxed structure of LaPaSn2. The functional is PBE-GGA.

Output
raw total energy	-5.89	eV per atom
ΔE to the lowest computed polymorph	0.149	eV/atom
ρ	8.81	g/cm³
formation energy	-1.1	eV per formula unit
Fermi-level density of states	1.95	states/eV/atom

CIF file:
```
data_LaPaSn2
_cell_length_a 7.709
_cell_length_b 7.709
_cell_length_c 7.709
_cell_angle_alpha 90.00
_cell_angle_beta 90.00
_cell_angle_gamma 90.00
_symmetry_space_group_name_H-M 'F m -3 m'
_symmetry_Int_Tables_number 225
_symmetry_space_group_name_Hall '-F 4 2 3'
loop_
_atom_site_label
_atom_site_fract_x
_atom_site_fract_y
_atom_site_fract_z
La1 0.000 0.000 0.000
Pa1 0.000 0.000 0.500
Sn1 0.250 0.250 0.250
```

(7)
This record from Alexandria via LeMat-Bulk describes a relaxed structure of ScAgP2Cl. The functional is PBE-GGA.

Output
raw total energy	-4.01	eV per atom
ΔE to the lowest computed polymorph	0.307	eV/atom
ρ	3.69	g/cm³
Fermi-level density of states	0.78	states/eV/atom

CIF file:
```
data_ScAgP2Cl
_cell_length_a 4.756
_cell_length_b 4.756
_cell_length_c 4.983
_cell_angle_alpha 90.00
_cell_angle_beta 90.00
_cell_angle_gamma 90.00
_symmetry_space_group_name_H-M 'P 4/m m m'
_symmetry_Int_Tables_number 123
_symmetry_space_group_name_Hall '-P 4 2'
loop_
_atom_site_label
_atom_site_fract_x
_atom_site_fract_y
_atom_site_fract_z
Sc1 0.000 0.000 0.000
Ag1 0.500 0.500 0.500
P1 0.000 0.500 0.500
Cl1 0.500 0.500 0.000
```

(8)
This record from Alexandria via LeMat-Bulk describes a relaxed structure of YMg6SnO8. The functional is PBE-GGA.

Output
raw total energy	-5.96	eV per atom
ΔE to the lowest computed polymorph	0.028	eV/atom
ρ	4.11	g/cm³
Fermi-level density of states	0.09	states/eV/atom

CIF file:
```
data_YMg6SnO8
_cell_length_a 4.549
_cell_length_b 4.549
_cell_length_c 9.389
_cell_angle_alpha 90.00
_cell_angle_beta 90.00
_cell_angle_gamma 90.00
_symmetry_space_group_name_H-M 'P 4/m m m'
_symmetry_Int_Tables_number 123
_symmetry_space_group_name_Hall '-P 4 2'
loop_
_atom_site_label
_atom_site_fract_x
_atom_site_fract_y
_atom_site_fract_z
Y1 0.000 0.000 0.000
Mg1 0.000 0.500 0.261
Mg2 0.500 0.500 0.000
Mg3 0.500 0.500 0.500
Sn1 0.000 0.000 0.500
O1 0.000 0.000 0.237
O2 0.000 0.500 0.000
O3 0.000 0.500 0.500
O4 0.500 0.500 0.265
```

- What is the raw total energy in the eighth record?
  -5.96 eV per atom